VASP calculation (PBE-GGA) on a geometry-optimized BHOs2N structure.

Electronic total energy in eV per atom: -6.9439
Spin magnetization in μB per formula unit: 0.00
Theoretical density in kg/m³: 15144
Space group: P4/mmm, No. 123

Geometry as extended XYZ:
```
5
Lattice="3.9840 0.0000 0.0000 0.0000 3.9840 0.0000 0.0000 0.0000 2.8068" Properties=species:S:1:pos:R:3 pbc="T T T"
B 0.0000 0.0000 0.0000
H 1.9920 1.9920 1.4034
Os 0.0000 1.9920 1.4034
Os 1.9920 0.0000 1.4034
N 1.9920 1.9920 0.0000
```